Density functional theory data (PBEsol) for a relaxed YPb3 crystal.

abc: 3.499 3.499 9.296
angles: 90.00 90.00 90.24
Fractional positions:
1 Y 0.500 0.500 0.500
2 Pb 0.000 0.000 0.740
3 Pb 0.500 0.500 0.000
4 Pb 0.000 0.000 0.260

Results
Space-group type: Cmmm (65)
ΔE_f: -0.71 eV per formula unit
VASP energy: -19.52 eV/f.u.

Density functional theory data (PBEsol) for a relaxed Y7Pb crystal.

abc: 6.926 6.926 6.926
angles: 60.00 60.00 60.00
Fractional positions:
1 Pb 0.000 0.000 0.000
2 Y 0.000 0.500 0.500
3 Y 0.500 0.500 0.500
4 Y 0.500 0.000 0.000
5 Y 0.000 0.500 0.000
6 Y 0.000 0.000 0.500
7 Y 0.500 0.000 0.500
8 Y 0.500 0.500 0.000

Results
Space-group type: Fm-3m (225)
ΔE_f: -0.98 eV per formula unit
VASP energy: -52.73 eV/f.u.

Density functional theory data (PBEsol) for a relaxed YPb3 crystal.

abc: 3.614 5.573 5.573
angles: 90.00 90.00 90.00
Fractional positions:
1 Pb 0.000 0.500 0.000
2 Pb 0.000 0.000 0.500
3 Pb 0.500 0.500 0.500
4 Y 0.500 0.000 0.000

Results
Space-group type: P4/mmm (123)
ΔE_f: -1.06 eV per formula unit
VASP energy: -19.88 eV/f.u.

Density functional theory data (PBEsol) for a relaxed YPb3 crystal.

abc: 3.596 5.579 6.465
angles: 115.56 106.15 90.00
Fractional positions:
1 Pb 0.748 0.763 0.496
2 Pb 0.500 0.146 0.000
3 Pb 0.252 0.266 0.504
4 Y 0.000 0.658 0.000

Results
Space-group type: Imm2 (44)
ΔE_f: -1.11 eV per formula unit
VASP energy: -19.92 eV/f.u.

Density functional theory data (PBEsol) for a relaxed YPb3 crystal.

abc: 3.598 5.648 5.648
angles: 102.62 90.00 90.00
Fractional positions:
1 Pb 0.000 0.500 0.500
2 Pb 0.500 0.500 0.000
3 Pb 0.500 0.000 0.500
4 Y 0.000 0.000 0.000

Results
Space-group type: Cmmm (65)
ΔE_f: -1.12 eV per formula unit
VASP energy: -19.93 eV/f.u.

Density functional theory data (PBEsol) for a relaxed YPb3 crystal.

abc: 5.987 6.482 17.078
angles: 90.00 90.00 90.00
Fractional positions:
1 Pb 0.587 0.250 0.500
2 Pb 0.135 0.752 0.833
3 Pb 0.363 0.000 0.335
4 Pb 0.865 0.748 0.667
5 Pb 0.135 0.248 0.833
6 Pb 0.885 0.000 0.000
7 Pb 0.135 0.248 0.167
8 Pb 0.865 0.252 0.667
9 Pb 0.413 0.250 0.000
10 Pb 0.115 0.500 0.500
11 Pb 0.587 0.750 0.500
12 Pb 0.363 0.000 0.665
13 Pb 0.135 0.752 0.167
14 Pb 0.413 0.750 0.000
15 Pb 0.637 0.500 0.835
16 Pb 0.865 0.748 0.333
17 Pb 0.865 0.252 0.333
18 Pb 0.637 0.500 0.165
19 Y 0.636 0.000 0.172
20 Y 0.907 0.500 0.000
21 Y 0.364 0.500 0.672
22 Y 0.364 0.500 0.328
23 Y 0.093 0.000 0.500
24 Y 0.636 0.000 0.828

Results
Space-group type: Pmmn (59)
ΔE_f: -1.21 eV per formula unit
VASP energy: -20.03 eV/f.u.

Density functional theory data (PBEsol) for a relaxed Y3Pb crystal.

abc: 5.388 5.388 5.388
angles: 60.00 60.00 60.00
Fractional positions:
1 Y 0.500 0.500 0.500
2 Y 0.750 0.750 0.750
3 Y 0.250 0.250 0.250
4 Pb 0.000 0.000 0.000

Results
Space-group type: Fm-3m (225)
ΔE_f: -0.61 eV per formula unit
VASP energy: -25.08 eV/f.u.

Density functional theory data (PBEsol) for a relaxed YPb3 crystal.

abc: 4.792 4.792 4.792
angles: 90.00 90.00 90.00
Fractional positions:
1 Pb 0.500 0.000 0.500
2 Pb 0.500 0.500 0.000
3 Pb 0.000 0.500 0.500
4 Y 0.000 0.000 0.000

Results
Space-group type: Pm-3m (221)
ΔE_f: -1.35 eV per formula unit
VASP energy: -20.17 eV/f.u.

Density functional theory data (PBEsol) for a relaxed Y5Pb crystal.

abc: 3.561 6.527 8.137
angles: 104.36 90.00 105.83
Fractional positions:
1 Y 0.659 0.319 0.316
2 Y 0.938 0.877 0.392
3 Y 0.296 0.592 0.054
4 Y 0.327 0.655 0.666
5 Y 0.607 0.215 0.737
6 Pb 0.004 0.009 0.002

Results
Space-group type: Cm (8)
ΔE_f: -1.18 eV per formula unit
VASP energy: -39.29 eV/f.u.

Density functional theory data (PBEsol) for a relaxed YPb3 crystal.

abc: 6.228 6.604 10.992
angles: 90.00 90.00 90.00
Fractional positions:
1 Pb 0.775 0.656 0.983
2 Pb 0.225 0.344 0.017
3 Pb 0.275 0.844 0.483
4 Pb 0.725 0.156 0.983
5 Pb 0.775 0.656 0.517
6 Pb 0.725 0.156 0.517
7 Pb 0.032 0.881 0.750
8 Pb 0.275 0.844 0.017
9 Pb 0.968 0.119 0.250
10 Pb 0.225 0.344 0.483
11 Pb 0.468 0.381 0.750
12 Pb 0.532 0.619 0.250
13 Y 0.470 0.128 0.250
14 Y 0.030 0.628 0.250
15 Y 0.970 0.372 0.750
16 Y 0.530 0.872 0.750

Results
Space-group type: Pnma (62)
ΔE_f: -1.17 eV per formula unit
VASP energy: -19.98 eV/f.u.

Density functional theory data (PBEsol) for a relaxed YPb3 crystal.

abc: 3.540 3.540 10.666
angles: 90.00 90.00 120.00
Fractional positions:
1 Pb 0.333 0.667 0.000
2 Pb 0.000 0.000 0.742
3 Pb 0.000 0.000 0.258
4 Y 0.333 0.667 0.500

Results
Space-group type: P-6m2 (187)
ΔE_f: -0.52 eV per formula unit
VASP energy: -19.34 eV/f.u.

Density functional theory data (PBEsol) for a relaxed Y5Pb4 crystal.

abc: 8.076 8.153 15.414
angles: 90.00 90.00 90.00
Fractional positions:
1 Y 0.294 0.996 0.250
2 Y 0.874 0.343 0.621
3 Y 0.374 0.157 0.621
4 Y 0.374 0.157 0.879
5 Y 0.032 0.823 0.599
6 Y 0.532 0.677 0.599
7 Y 0.626 0.843 0.121
8 Y 0.032 0.823 0.901
9 Y 0.468 0.323 0.099
10 Y 0.706 0.004 0.750
11 Y 0.968 0.177 0.099
12 Y 0.794 0.504 0.250
13 Y 0.626 0.843 0.379
14 Y 0.968 0.177 0.401
15 Y 0.468 0.323 0.401
16 Y 0.874 0.343 0.879
17 Y 0.126 0.657 0.121
18 Y 0.126 0.657 0.379
19 Y 0.206 0.496 0.750
20 Y 0.532 0.677 0.901
21 Pb 0.716 0.035 0.957
22 Pb 0.784 0.535 0.043
23 Pb 0.216 0.465 0.543
24 Pb 0.156 0.348 0.250
25 Pb 0.216 0.465 0.957
26 Pb 0.569 0.377 0.750
27 Pb 0.284 0.965 0.043
28 Pb 0.431 0.623 0.250
29 Pb 0.716 0.035 0.543
30 Pb 0.344 0.848 0.750
31 Pb 0.284 0.965 0.457
32 Pb 0.069 0.123 0.750
33 Pb 0.656 0.152 0.250
34 Pb 0.784 0.535 0.457
35 Pb 0.844 0.652 0.750
36 Pb 0.931 0.877 0.250

Results
Space-group type: Pnma (62)
ΔE_f: -5.79 eV per formula unit
VASP energy: -55.89 eV/f.u.